Entry 1:
{
  "formula": "SrFe2As",
  "functional": "GGA-PBE",
  "state": "optimized geometry",
  "dft_energy_ev_per_atom": -5.26,
  "lattice_angstrom": [[-2.7688, 0.6047, 4.9439], [-3.0888, -0.1165, -4.7874], [-1.7756, -2.5152, 0.2448]],
  "species": ["Fe", "Sr", "As", "Fe"],
  "fractional_positions": [[0.0000, 0.0000, 0.0000], [0.5000, 0.0000, 0.5000], [0.0000, 0.5000, 0.5000], [0.5000, 0.5000, 0.0000]]
}


Entry 2:
{
  "formula": "SrFe2As",
  "functional": "GGA-PBE",
  "state": "optimized geometry",
  "dft_energy_ev_per_atom": -5.42,
  "lattice_angstrom": [[-1.7906, -5.2581, -0.3823], [2.7464, -2.8582, -3.9100], [0.4370, 2.7515, 4.8206]],
  "species": ["As", "Fe", "Fe", "Sr"],
  "fractional_positions": [[0.2500, 0.7500, 0.5000], [0.4429, 0.4429, 0.0000], [0.0571, 0.0571, 0.0000], [0.7500, 0.2500, 0.5000]]
}


Entry 3:
{
  "formula": "SrFe2As",
  "functional": "GGA-PBE",
  "state": "optimized geometry",
  "dft_energy_ev_per_atom": -5.32,
  "lattice_angstrom": [[5.3196, 0.0033, 0.0000], [2.0260, 4.9187, 0.0000], [-3.6728, -2.4610, 2.9584]],
  "species": ["Fe", "Sr", "As", "Fe"],
  "fractional_positions": [[0.0000, 0.0000, 0.0000], [0.2500, 0.7500, 0.5000], [0.7500, 0.2500, 0.5000], [0.5000, 0.5000, 0.0000]]
}